(1)
A plane-wave DFT calculation with PBE was carried out for a relaxed structure of ReP2Pt.

```
4
Lattice="-1.484 1.666 6.184 1.484 -1.666 6.184 1.484 1.666 -6.184" Properties=species:S:1:pos:R:3 pbc="T T T"
Re 0.000 0.000 0.000
P 1.484 0.000 1.928
P 0.000 0.000 5.218
Pt 0.000 1.666 3.469
```

Properties
The value obtained for the total energy is -29.464 eV for the cell shown. The crystal system is orthorhombic. The value obtained for the energy above the most stable polymorph in this dataset is 17.4 kJ/mol of atoms. For the formation energy, the calculation gives -0.155 eV per formula unit.

---

(2)
A plane-wave DFT calculation with PBE was carried out for a relaxed structure of YInPb3.

```
5
Lattice="5.681 0.000 0.000 0.000 5.681 0.000 0.000 0.000 5.681" Properties=species:S:1:pos:R:3 pbc="T T T"
Y 0.000 0.000 0.000
In 2.840 2.840 2.840
Pb 0.000 2.840 2.840
Pb 2.840 0.000 2.840
Pb 2.840 2.840 0.000
```

Properties
The value obtained for the total energy is -18.047 eV for the cell shown. The crystal system is cubic. The value obtained for the energy above the most stable polymorph in this dataset is 55.2 kJ/mol of atoms. For the formation energy, the calculation gives 2.281 eV per formula unit.

---

(3)
A plane-wave DFT calculation with PBE was carried out for a relaxed structure of Pm2TcPt.

```
4
Lattice="0.000 3.537 3.537 3.537 0.000 3.537 3.537 3.537 0.000" Properties=species:S:1:pos:R:3 pbc="T T T"
Pm 1.769 1.769 1.769
Pm 5.306 5.306 5.306
Tc 0.000 0.000 0.000
Pt 3.537 3.537 3.537
```

Properties
The value obtained for the total energy is -27.292 eV for the cell shown. The crystal system is cubic. The value obtained for the energy above the most stable polymorph in this dataset is 5.9 kJ/mol of atoms. For the formation energy, the calculation gives -1.384 eV per formula unit.

---

(4)
A plane-wave DFT calculation with PBE was carried out for a relaxed structure of InAgPd5.

```
7
Lattice="-3.712 4.386 2.570 3.712 -4.386 2.570 3.712 4.386 -2.570" Properties=species:S:1:pos:R:3 pbc="T T T"
In 0.000 0.000 0.000
Ag 0.000 4.386 1.608
Pd 3.712 0.000 1.613
Pd 3.712 2.343 0.713
Pd 2.363 4.386 -0.146
Pd 1.349 0.000 2.425
Pd 0.000 2.043 3.284
```

Properties
The value obtained for the total energy is -28.143 eV for the cell shown. The crystal system is orthorhombic. The value obtained for the energy above the most stable polymorph in this dataset is 59.1 kJ/mol of atoms. For the formation energy, the calculation gives 3.411 eV per formula unit.

---

(5)
A plane-wave DFT calculation with PBE was carried out for a relaxed structure of NaErCd2.

```
4
Lattice="5.440 0.000 0.000 0.000 5.440 0.000 0.000 0.000 3.444" Properties=species:S:1:pos:R:3 pbc="T T T"
Na 0.000 0.000 0.000
Er 2.720 2.720 0.000
Cd 0.000 2.720 1.722
Cd 2.720 0.000 1.722
```

Properties
The value obtained for the total energy is -8.416 eV for the cell shown. The crystal system is tetragonal. The value obtained for the energy above the most stable polymorph in this dataset is 0.0 kJ/mol of atoms. For the formation energy, the calculation gives -0.704 eV per formula unit.

---

(6)
A plane-wave DFT calculation with PBE was carried out for a relaxed structure of BaLiAc2.

```
4
Lattice="4.088 0.000 0.000 0.000 4.088 0.000 0.000 0.000 10.171" Properties=species:S:1:pos:R:3 pbc="T T T"
Ba 0.000 0.000 0.000
Li 0.000 0.000 5.086
Ac 2.044 2.044 3.147
Ac 2.044 2.044 7.024
```

Properties
The value obtained for the total energy is -11.608 eV for the cell shown. The crystal system is tetragonal. The value obtained for the energy above the most stable polymorph in this dataset is 0.0 kJ/mol of atoms. For the formation energy, the calculation gives 0.446 eV per formula unit.

---

(7)
A plane-wave DFT calculation with PBE was carried out for a relaxed structure of CuHgBr.

```
3
Lattice="0.000 3.334 3.334 3.334 0.000 3.334 3.334 3.334 0.000" Properties=species:S:1:pos:R:3 pbc="T T T"
Cu 0.000 0.000 0.000
Hg 5.001 5.001 5.001
Br 1.667 1.667 1.667
```

Properties
The value obtained for the total energy is -5.680 eV for the cell shown. The crystal system is cubic. The calculation puts the formation energy without anion corrections at 0.130 eV per atom. The value obtained for the energy above the most stable polymorph in this dataset is 23.3 kJ/mol of atoms.

---

(8)
A plane-wave DFT calculation with PBE was carried out for a relaxed structure of PmHoSn4.

```
6
Lattice="3.085 -4.864 0.000 3.085 4.864 0.000 0.000 0.000 6.245" Properties=species:S:1:pos:R:3 pbc="T T T"
Pm 0.000 0.000 0.000
Ho 3.085 0.000 3.123
Sn 1.542 2.432 1.580
Sn 1.542 2.432 4.665
Sn 1.542 -2.432 1.580
Sn 1.542 -2.432 4.665
```

Properties
The value obtained for the total energy is -27.643 eV for the cell shown. The crystal system is orthorhombic. For the formation energy, the calculation gives -2.303 eV per formula unit.

---

(9)
A plane-wave DFT calculation with PBE was carried out for a relaxed structure of Nd2Sm3Al3.

```
8
Lattice="-1.889 2.627 11.130 1.889 -2.627 11.130 1.889 2.627 -11.130" Properties=species:S:1:pos:R:3 pbc="T T T"
Nd 0.000 0.000 5.083
Nd 0.000 0.000 17.178
Sm 0.000 0.000 0.000
Sm 1.889 0.000 8.534
Sm 0.000 2.627 2.596
Al 1.889 0.000 2.556
Al 0.000 0.000 11.130
Al 0.000 2.627 8.575
```

Properties
The value obtained for the total energy is -37.006 eV for the cell shown. The crystal system is orthorhombic. The value obtained for the energy above the most stable polymorph in this dataset is 0.0 kJ/mol of atoms. For the formation energy, the calculation gives -2.086 eV per formula unit.

---

(10)
A plane-wave DFT calculation with PBE was carried out for a relaxed structure of LiAl2Ni.

```
4
Lattice="3.104 0.000 0.000 0.000 3.104 0.000 0.000 0.000 5.593" Properties=species:S:1:pos:R:3 pbc="T T T"
Li 0.000 0.000 0.000
Al 0.000 0.000 2.517
Al 1.552 1.552 4.202
Ni 1.552 1.552 1.376
```

Properties
The value obtained for the total energy is -16.153 eV for the cell shown. The crystal system is tetragonal. For the formation energy, the calculation gives -0.973 eV per formula unit.

---

(11)
A plane-wave DFT calculation with PBE was carried out for a relaxed structure of Ta2BeHPt.

```
5
Lattice="4.028 0.000 0.000 0.000 4.028 0.000 0.000 0.000 3.945" Properties=species:S:1:pos:R:3 pbc="T T T"
Ta 0.000 2.014 0.000
Ta 2.014 0.000 0.000
Be 0.000 0.000 1.972
H 0.000 0.000 0.000
Pt 2.014 2.014 1.972
```

Properties
The value obtained for the total energy is -37.770 eV for the cell shown. The crystal system is tetragonal.

---

(12)
A plane-wave DFT calculation with PBE was carried out for a relaxed structure of LaYAgSb.

```
4
Lattice="0.000 3.789 3.789 3.789 0.000 3.789 3.789 3.789 0.000" Properties=species:S:1:pos:R:3 pbc="T T T"
La 0.000 0.000 0.000
Y 3.789 3.789 3.789
Ag 5.683 5.683 5.683
Sb 1.894 1.894 1.894
```

Properties
The value obtained for the total energy is -20.793 eV for the cell shown. The crystal system is cubic. The calculation puts the formation energy without anion corrections at -0.607 eV per atom.

---

(13)
A plane-wave DFT calculation with PBE was carried out for a relaxed structure of Ac12CuGe6.

```
19
Lattice="7.039 4.064 4.256 -7.039 4.064 4.256 0.000 -8.127 4.256" Properties=species:S:1:pos:R:3 pbc="T T T"
Ac -6.206 -1.546 7.033
Ac -1.764 -6.148 5.735
Ac -2.659 -0.361 4.952
Ac -4.442 4.601 5.735
Ac 1.642 -2.122 4.952
Ac -1.017 -2.483 7.815
Ac 1.017 2.483 4.952
Ac -1.642 2.122 7.815
Ac 4.442 -4.601 7.033
Ac 2.659 0.361 7.815
Ac 1.764 6.148 7.033
Ac 6.206 1.546 5.735
Cu 0.000 0.000 0.000
Ge -1.286 -3.257 4.517
Ge -2.178 2.742 4.517
Ge -3.464 -0.515 8.251
Ge 3.464 0.515 4.517
Ge 2.178 -2.742 8.251
Ge 1.286 3.257 8.251
```

Properties
The value obtained for the total energy is -88.314 eV for the cell shown. The crystal system is trigonal. For the formation energy, the calculation gives -7.212 eV per formula unit.

---

Number 1: mass density 12.0 g/cm3. Number 2: mass density 7.5 g/cm3. Number 3: mass density 10.9 g/cm3. Number 4: mass density 7.5 g/cm3. Number 5: mass density 6.8 g/cm3. Number 6: mass density 5.8 g/cm3. Number 7: mass density 7.7 g/cm3. Number 8: mass density 7.0 g/cm3. Number 9: mass density 6.2 g/cm3. Number 10: mass density 3.7 g/cm3. Number 11: mass density 14.7 g/cm3. Number 12: mass density 7.0 g/cm3. Number 13: mass density 7.3 g/cm3.